Below is a relaxed Gd2HPd crystal, with properties calculated at the GGA-PBE level.

Cell and atoms, written as POSCAR:
```
Gd2HPd
1.0
-2.827 -2.535 1.035
0.952 -3.445 1.648
-0.908 0.629 6.541
H Gd Pd
1 2 1
Direct
0.500 0.500 0.500
0.241 0.241 0.277
0.759 0.759 0.723
0.000 0.000 0.000
```

Space group ... R-3m (166)
Crystal system ... trigonal
Magnetic moment ... 14.39 μB per formula unit
Total energy ... -9.6702 eV/atom


Below is a relaxed GdH2Pd crystal, with properties calculated at the GGA-PBE level.

Cell and atoms, written as POSCAR:
```
GdH2Pd
1.0
-0.761 -1.123 -2.878
2.272 -1.133 -1.917
-0.222 -5.982 0.634
H Gd Pd
2 1 1
Direct
0.132 0.132 0.604
0.868 0.868 0.396
0.000 0.000 0.000
0.500 0.500 0.500
```

Space group ... R-3m (166)
Crystal system ... trigonal
Magnetic moment ... 7.51 μB per formula unit
Total energy ... -6.5085 eV/atom


Number 1: calculated volume 84 Å³/f.u.. Number 2: calculated volume 50 Å³/f.u..